<1>
The following is a GGA-PBE calculation of a relaxed structure of ErZr2Al, from Alexandria via LeMat-Bulk.

Cell: 3.1808 3.1808 9.0273 Å, 90.00 90.00 90.00°
Closest atoms and distances in Å follow each position.
Space group P4/mmm (No. 123)
Inequivalent atoms, fractional coordinates:
Er 0.0000 0.0000 0.0000 x1  4 Er 3.18, 8 Zr 3.41
Zr 0.5000 0.5000 0.2832 x2  4 Al 2.98, 4 Zr 3.18
Al 0.0000 0.0000 0.5000 x1  8 Zr 2.98, 4 Al 3.18

Values from the calculation:
V in Å³/f.u.: 91.3
Crystal system: tetragonal



<2>
The following is a GGA-PBE calculation of a relaxed structure of ErZr2Al, from Alexandria via LeMat-Bulk.

Cell: 7.0760 7.0760 7.0760 Å, 90.00 90.00 90.00°
Closest atoms and distances in Å follow each position.
Space group Fm-3m (No. 225)
Inequivalent atoms, fractional coordinates:
Er 0.0000 0.0000 0.0000 x4  8 Zr 3.06
Zr 0.2500 0.2500 0.2500 x8  4 Er 3.06, 4 Al 3.06
Al 0.0000 0.0000 0.5000 x4  8 Zr 3.06

Values from the calculation:
V in Å³/f.u.: 88.6
Crystal system: cubic



<3>
The following is a GGA-PBE calculation of a relaxed structure of ErZr2Al, from Alexandria via LeMat-Bulk.

Cell: 5.6337 3.2573 10.2902 Å, 90.00 100.37 90.00°
Closest atoms and distances in Å follow each position.
Space group Cm (No. 8)
Inequivalent atoms, fractional coordinates:
Er 0.0000 0.0000 0.0000 x2  6 Er 3.25-3.26, 6 Zr 3.29-3.30
Zr 0.0784 0.5000 0.7336 x2  3 Al 3.02-3.03, 6 Zr 3.25-3.26, 3 Er 3.29
Zr 0.2557 0.5000 0.2682 x2  3 Al 3.00-3.01, 6 Zr 3.25-3.26, 3 Er 3.30
Al 0.1665 0.0000 0.4998 x2  6 Zr 3.00-3.03, 6 Al 3.25-3.26

Values from the calculation:
V in Å³/f.u.: 92.9
Crystal system: monoclinic



<4>
The following is a GGA-PBE calculation of a relaxed structure of ErZr2Al, from Alexandria via LeMat-Bulk.

Cell: 4.3958 4.2211 10.6151 Å, 90.00 101.87 90.00°
Closest atoms and distances in Å follow each position.
Space group P2_1/m (No. 11)
Inequivalent atoms, fractional coordinates:
Er 0.1917 0.2500 0.3858 x2  5 Al 3.10-3.13
Zr 0.0583 0.7500 0.1177 x2  2 Al 3.01, 8 Zr 3.05-3.24
Zr 0.4448 0.7500 0.8885 x2  2 Al 2.99, 8 Zr 3.05-3.24
Al 0.3434 0.2500 0.6845 x2  4 Zr 2.99-3.01, 5 Er 3.10-3.13

Values from the calculation:
V in Å³/f.u.: 96.4
Crystal system: monoclinic



Most stable one: <4>, least stable one: <3>.



<1>
The following is a GGA-PBE calculation of a relaxed structure of ErZrAl, from Alexandria via LeMat-Bulk.

Cell: 7.4930 7.4930 4.4314 Å, 90.00 90.00 120.00°
Closest atoms and distances in Å follow each position.
Space group P-62m (No. 189)
Inequivalent atoms, fractional coordinates:
Er 0.0000 0.5815 0.0000 x3  5 Al 3.14-3.16, 2 Zr 3.39
Zr 0.0000 0.2395 0.5000 x3  4 Al 2.85-2.91, 2 Zr 3.11
Al 0.0000 0.0000 0.0000 x1  6 Zr 2.85, 3 Er 3.14
Al 0.3333 0.6667 0.5000 x2  3 Zr 2.91, 6 Er 3.16

Values from the calculation:
V in Å³/f.u.: 71.8
Crystal system: hexagonal



<2>
The following is a GGA-PBE calculation of a relaxed structure of ErZrAl, from Alexandria via LeMat-Bulk.

Cell: 3.2859 3.2859 12.8535 Å, 90.00 90.00 90.00°
Closest atoms and distances in Å follow each position.
Space group P4/nmm (No. 129, origin choice 2)
Inequivalent atoms, fractional coordinates:
Er 0.2500 0.2500 0.1070 x2  4 Al 3.10, 4 Er 3.29
Zr 0.2500 0.2500 0.4144 x2  4 Al 3.00, 8 Zr 3.20-3.29
Al 0.2500 0.2500 0.7333 x2  4 Zr 3.00, 4 Er 3.10, 4 Al 3.29

Values from the calculation:
V in Å³/f.u.: 69.4
Crystal system: tetragonal



Most stable one: <2>, least stable one: <1>.



<1>
The following is a GGA-PBE calculation of a relaxed structure of ErZrAl2, from Alexandria via LeMat-Bulk.

Cell: 4.5297 4.5297 4.0734 Å, 90.00 90.00 90.00°
Closest atoms and distances in Å follow each position.
Space group P4/mmm (No. 123)
Inequivalent atoms, fractional coordinates:
Er 0.0000 0.0000 0.0000 x1  8 Al 3.05, 4 Zr 3.20
Zr 0.5000 0.5000 0.0000 x1  8 Al 3.05, 4 Er 3.20
Al 0.0000 0.5000 0.5000 x2  4 Zr 3.05, 4 Er 3.05, 4 Al 3.20

Values from the calculation:
V in Å³/f.u.: 83.6
Crystal system: tetragonal



<2>
The following is a GGA-PBE calculation of a relaxed structure of ErZrAl2, from Alexandria via LeMat-Bulk.

Cell: 6.9476 6.9476 6.9476 Å, 90.00 90.00 90.00°
Closest atoms and distances in Å follow each position.
Space group Fm-3m (No. 225)
Inequivalent atoms, fractional coordinates:
Er 0.0000 0.0000 0.0000 x4  8 Al 3.01
Zr 0.0000 0.0000 0.5000 x4  8 Al 3.01
Al 0.2500 0.2500 0.2500 x8  4 Zr 3.01, 4 Er 3.01

Values from the calculation:
V in Å³/f.u.: 83.8
Crystal system: cubic



<3>
The following is a GGA-PBE calculation of a relaxed structure of ErZrAl2, from Alexandria via LeMat-Bulk.

Cell: 3.5951 3.5951 6.5211 Å, 90.00 90.00 90.00°
Closest atoms and distances in Å follow each position.
Space group P4/mmm (No. 123)
Inequivalent atoms, fractional coordinates:
Er 0.0000 0.0000 0.0000 x1  8 Al 3.12, 2 Zr 3.26
Zr 0.0000 0.0000 0.5000 x1  8 Al 2.93, 2 Er 3.26
Al 0.5000 0.5000 0.2772 x2  1 Al 2.91, 4 Zr 2.93, 4 Er 3.12

Values from the calculation:
V in Å³/f.u.: 84.3
Crystal system: tetragonal



Most stable one: <3>, least stable one: <2>.



<1>
The following is a GGA-PBE calculation of a relaxed structure of ErZr2Al6, from Alexandria via LeMat-Bulk.

Cell: 4.2350 6.7642 13.1958 Å, 90.00 90.00 90.00°
Closest atoms and distances in Å follow each position.
Space group Immm (No. 71)
Inequivalent atoms, fractional coordinates:
Er 0.0000 0.0000 0.0000 x2  4 Al 2.99
Zr 0.0000 0.5000 0.1172 x4  10 Al 2.90-3.06, 1 Zr 3.09
Al 0.0000 0.1883 0.5000 x4  3 Al 2.55-2.61
Al 0.0000 0.2944 0.3097 x8  4 Al 2.61-2.78, 1 Zr 2.90

Values from the calculation:
V in Å³/f.u.: 189.0
Crystal system: orthorhombic



<2>
The following is a GGA-PBE calculation of a relaxed structure of ErZr2Al6, from Alexandria via LeMat-Bulk.

Cell: 7.7682 7.7682 3.2431 Å, 90.00 90.00 120.00°
Closest atoms and distances in Å follow each position.
Space group P6/mmm (No. 191)
Inequivalent atoms, fractional coordinates:
Er 0.0000 0.0000 0.0000 x1  12 Al 3.07, 2 Er 3.24
Zr 0.3333 0.6667 0.0000 x2  12 Al 3.05, 2 Zr 3.24
Al 0.0000 0.3357 0.5000 x6  3 Al 2.55-2.61

Values from the calculation:
V in Å³/f.u.: 169.5
Crystal system: hexagonal



Most stable one: <2>, least stable one: <1>.



<1>
The following is a GGA-PBE calculation of a relaxed structure of EuAl2Ga, from Alexandria via LeMat-Bulk.

Cell: 3.2149 3.2149 30.9327 Å, 90.00 90.00 120.00°
Closest atoms and distances in Å follow each position.
Space group R-3m (No. 166, hexagonal axes)
Inequivalent atoms, fractional coordinates:
Eu 0.0000 0.0000 0.0000 x3  2 Al 3.09, 6 Eu 3.21
Al 0.0000 0.0000 0.1000 x6  3 Ga 2.77, 1 Eu 3.09
Ga 0.0000 0.0000 0.5000 x3  6 Al 2.77

Values from the calculation:
V in Å³/f.u.: 92.3
Crystal system: trigonal



<2>
The following is a GGA-PBE calculation of a relaxed structure of EuAl2Ga, from Alexandria via LeMat-Bulk.

Cell: 4.3367 4.3367 4.3768 Å, 90.00 90.00 90.00°
Closest atoms and distances in Å follow each position.
Space group P4/mmm (No. 123)
Inequivalent atoms, fractional coordinates:
Eu 0.0000 0.0000 0.0000 x1  4 Ga 3.07, 8 Al 3.08
Al 0.0000 0.5000 0.5000 x2  4 Al 3.07, 4 Eu 3.08, 4 Ga 3.08
Ga 0.5000 0.5000 0.0000 x1  4 Eu 3.07, 8 Al 3.08

Values from the calculation:
V in Å³/f.u.: 82.3
Crystal system: tetragonal



Most stable one: <2>, least stable one: <1>.



<1>
The following is a GGA-PBE calculation of a relaxed structure of Eu2GdAl, from Alexandria via LeMat-Bulk.

Cell: 3.5788 3.5788 35.6156 Å, 90.00 90.00 120.00°
Closest atoms and distances in Å follow each position.
Space group R-3m (No. 166, hexagonal axes)
Inequivalent atoms, fractional coordinates:
Eu 0.0000 0.0000 0.0969 x6  3 Al 3.23, 1 Gd 3.45, 6 Eu 3.58
Gd 0.0000 0.0000 0.0000 x3  2 Eu 3.45, 6 Gd 3.58
Al 0.0000 0.0000 0.5000 x3  6 Eu 3.23, 6 Al 3.58

Values from the calculation:
V in Å³/f.u.: 131.7
Crystal system: trigonal



<2>
The following is a GGA-PBE calculation of a relaxed structure of Eu2GdAl, from Alexandria via LeMat-Bulk.

Cell: 4.8323 4.8323 5.1519 Å, 90.00 90.00 90.00°
Closest atoms and distances in Å follow each position.
Space group P4/mmm (No. 123)
Inequivalent atoms, fractional coordinates:
Eu 0.0000 0.5000 0.0000 x2  4 Eu 3.42, 4 Al 3.53, 4 Gd 3.53
Gd 0.0000 0.0000 0.5000 x1  4 Al 3.42, 8 Eu 3.53
Al 0.5000 0.5000 0.5000 x1  4 Gd 3.42, 8 Eu 3.53

Values from the calculation:
V in Å³/f.u.: 120.3
Crystal system: tetragonal



Most stable one: <2>, least stable one: <1>.